# 1
Computed, not measured: a geometry-optimized YPICl2 structure at the PBE level of DFT.

CIF file:
```
data_YPICl2
_chemical_formula_sum 'Y1 P1 I1 Cl2'
_space_group_name_H-M_alt 'P 1'
_space_group_IT_number 1
_space_group_name_Hall 'P 1'
_cell_length_a 5.1054
_cell_length_b 5.1054
_cell_length_c 6.0304
_cell_angle_alpha 90.00
_cell_angle_beta 90.00
_cell_angle_gamma 90.00
loop_
_atom_site_label
_atom_site_type_symbol
_atom_site_fract_x
_atom_site_fract_y
_atom_site_fract_z
_atom_site_occupancy
Cl1 Cl 0.5000 0.0000 0.0000 1
Cl2 Cl 0.0000 0.5000 0.0000 1
P1 P 0.0000 0.0000 0.5000 1
Y1 Y 0.0000 0.0000 0.0000 1
I1 I 0.5000 0.5000 0.5000 1
```

Computed properties:
E_form (uncorrected): -4.27 eV per formula unit
excess energy over the best structure of this formula in the dataset: 0.00 kcal/mol of atoms
DFT total energy: -4.278 eV/atom



# 2
Computed, not measured: a geometry-optimized Sm2Y3Tm6 structure at the PBE level of DFT.

CIF file:
```
data_Sm2Y3Tm6
_chemical_formula_sum 'Sm2 Y3 Tm6'
_space_group_name_H-M_alt 'P 1'
_space_group_IT_number 1
_space_group_name_Hall 'P 1'
_cell_length_a 6.0739
_cell_length_b 6.0805
_cell_length_c 11.5914
_cell_angle_alpha 84.96
_cell_angle_beta 79.87
_cell_angle_gamma 60.04
loop_
_atom_site_label
_atom_site_type_symbol
_atom_site_fract_x
_atom_site_fract_y
_atom_site_fract_z
_atom_site_occupancy
Sm1 Sm 0.1665 0.6670 0.5000 1
Sm2 Sm 0.8335 0.3330 0.5000 1
Tm1 Tm 0.7503 0.0000 0.7504 1
Tm2 Tm 0.4167 0.6662 0.7506 1
Tm3 Tm 0.5833 0.3338 0.2494 1
Tm4 Tm 0.9171 0.6662 0.2494 1
Tm5 Tm 0.0829 0.3338 0.7506 1
Tm6 Tm 0.2497 0.0000 0.2496 1
Y1 Y 0.3351 0.3299 0.0000 1
Y2 Y 0.6649 0.6701 0.0000 1
Y3 Y 0.0000 0.0000 0.0000 1
```

Computed properties:
excess energy over the best structure of this formula in the dataset: 0.00 kcal/mol of atoms
DFT total energy: -4.862 eV/atom
energy relative to the elements: 0.20 eV per atom



# 3
Computed, not measured: a geometry-optimized LaDy2Zr structure at the PBE level of DFT.

CIF file:
```
data_LaDy2Zr
_chemical_formula_sum 'La1 Dy2 Zr1'
_space_group_name_H-M_alt 'P 1'
_space_group_IT_number 1
_space_group_name_Hall 'P 1'
_cell_length_a 4.0204
_cell_length_b 4.0204
_cell_length_c 7.5551
_cell_angle_alpha 90.00
_cell_angle_beta 90.00
_cell_angle_gamma 90.00
loop_
_atom_site_label
_atom_site_type_symbol
_atom_site_fract_x
_atom_site_fract_y
_atom_site_fract_z
_atom_site_occupancy
Dy1 Dy 0.0000 0.0000 0.7144 1
Dy2 Dy 0.0000 0.0000 0.2856 1
Zr1 Zr 0.5000 0.5000 0.5000 1
La1 La 0.5000 0.5000 0.0000 1
```

Computed properties:
excess energy over the best structure of this formula in the dataset: 2.31 kcal/mol of atoms
DFT total energy: -5.499 eV/atom
energy relative to the elements: 0.17 eV per atom



# 4
Computed, not measured: a geometry-optimized ZrTe2P structure at the PBE level of DFT.

CIF file:
```
data_ZrTe2P
_chemical_formula_sum 'Zr1 Te2 P1'
_space_group_name_H-M_alt 'P 1'
_space_group_IT_number 1
_space_group_name_Hall 'P 1'
_cell_length_a 3.9564
_cell_length_b 4.2577
_cell_length_c 5.9274
_cell_angle_alpha 81.74
_cell_angle_beta 90.00
_cell_angle_gamma 90.00
loop_
_atom_site_label
_atom_site_type_symbol
_atom_site_fract_x
_atom_site_fract_y
_atom_site_fract_z
_atom_site_occupancy
Te1 Te 0.0000 0.0000 0.0000 1
Te2 Te 0.5000 0.5000 0.5000 1
P1 P 0.0000 0.0000 0.5000 1
Zr1 Zr 0.5000 0.5000 0.0000 1
```

Computed properties:
E_form (uncorrected): -0.29 eV per formula unit
excess energy over the best structure of this formula in the dataset: 11.14 kcal/mol of atoms
DFT total energy: -5.133 eV/atom



# 5
Computed, not measured: a geometry-optimized Cr2MoRh6 structure at the PBE level of DFT.

CIF file:
```
data_Cr2MoRh6
_chemical_formula_sum 'Cr2 Mo1 Rh6'
_space_group_name_H-M_alt 'P 1'
_space_group_IT_number 1
_space_group_name_Hall 'P 1'
_cell_length_a 2.6820
_cell_length_b 7.1165
_cell_length_c 7.7309
_cell_angle_alpha 117.40
_cell_angle_beta 99.99
_cell_angle_gamma 90.00
loop_
_atom_site_label
_atom_site_type_symbol
_atom_site_fract_x
_atom_site_fract_y
_atom_site_fract_z
_atom_site_occupancy
Rh1 Rh 0.5000 0.1758 0.0000 1
Rh2 Rh 0.3248 0.5118 0.6497 1
Rh3 Rh 0.3248 0.1379 0.6497 1
Rh4 Rh 0.6752 0.4882 0.3503 1
Rh5 Rh 0.6752 0.8621 0.3503 1
Rh6 Rh 0.5000 0.8242 0.0000 1
Cr1 Cr 0.8595 0.8595 0.7190 1
Cr2 Cr 0.1405 0.1405 0.2810 1
Mo1 Mo 0.0000 0.5000 0.0000 1
```

Computed properties:
excess energy over the best structure of this formula in the dataset: 4.09 kcal/mol of atoms
DFT total energy: -8.149 eV/atom
energy relative to the elements: 0.09 eV per atom



# 6
Computed, not measured: a geometry-optimized Zr2ZnRe structure at the PBE level of DFT.

CIF file:
```
data_Zr2ZnRe
_chemical_formula_sum 'Zr2 Zn1 Re1'
_space_group_name_H-M_alt 'P 1'
_space_group_IT_number 1
_space_group_name_Hall 'P 1'
_cell_length_a 3.3564
_cell_length_b 3.3564
_cell_length_c 6.5736
_cell_angle_alpha 90.00
_cell_angle_beta 90.00
_cell_angle_gamma 90.00
loop_
_atom_site_label
_atom_site_type_symbol
_atom_site_fract_x
_atom_site_fract_y
_atom_site_fract_z
_atom_site_occupancy
Zn1 Zn 0.5000 0.5000 0.7500 1
Zr1 Zr 0.0000 0.0000 0.0086 1
Zr2 Zr 0.0000 0.0000 0.4914 1
Re1 Re 0.5000 0.5000 0.2500 1
```

Computed properties:
DFT total energy: -8.003 eV/atom
energy relative to the elements: -0.30 eV per atom



# 7
Computed, not measured: a geometry-optimized CsHo6Te8 structure at the PBE level of DFT.

CIF file:
```
data_CsHo6Te8
_chemical_formula_sum 'Cs1 Ho6 Te8'
_space_group_name_H-M_alt 'P 1'
_space_group_IT_number 1
_space_group_name_Hall 'P 1'
_cell_length_a 8.4611
_cell_length_b 8.4611
_cell_length_c 8.4611
_cell_angle_alpha 90.29
_cell_angle_beta 90.29
_cell_angle_gamma 90.29
loop_
_atom_site_label
_atom_site_type_symbol
_atom_site_fract_x
_atom_site_fract_y
_atom_site_fract_z
_atom_site_occupancy
Te1 Te 0.7462 0.7462 0.7462 1
Te2 Te 0.2538 0.2538 0.2538 1
Te3 Te 0.7193 0.3996 0.1332 1
Te4 Te 0.8668 0.2807 0.6004 1
Te5 Te 0.1332 0.7193 0.3996 1
Te6 Te 0.6004 0.8668 0.2807 1
Te7 Te 0.3996 0.1332 0.7193 1
Te8 Te 0.2807 0.6004 0.8668 1
Ho1 Ho 0.2035 0.4000 0.5702 1
Ho2 Ho 0.4298 0.7965 0.6000 1
Ho3 Ho 0.7965 0.6000 0.4298 1
Ho4 Ho 0.5702 0.2035 0.4000 1
Ho5 Ho 0.6000 0.4298 0.7965 1
Ho6 Ho 0.4000 0.5702 0.2035 1
Cs1 Cs 0.0000 0.0000 0.0000 1
```

Computed properties:
E_form (uncorrected): -18.78 eV per formula unit
excess energy over the best structure of this formula in the dataset: 2.15 kcal/mol of atoms
DFT total energy: -4.815 eV/atom



# 8
Computed, not measured: a geometry-optimized ScZnS structure at the PBE level of DFT.

CIF file:
```
data_ScZnS
_chemical_formula_sum 'Sc2 Zn2 S2'
_space_group_name_H-M_alt 'P 1'
_space_group_IT_number 1
_space_group_name_Hall 'P 1'
_cell_length_a 4.2892
_cell_length_b 4.2892
_cell_length_c 7.6556
_cell_angle_alpha 73.73
_cell_angle_beta 73.73
_cell_angle_gamma 60.00
loop_
_atom_site_label
_atom_site_type_symbol
_atom_site_fract_x
_atom_site_fract_y
_atom_site_fract_z
_atom_site_occupancy
Zn1 Zn 0.8296 0.8296 0.5111 1
Zn2 Zn 0.1704 0.1704 0.4889 1
Sc1 Sc 0.4171 0.4171 0.7486 1
Sc2 Sc 0.5829 0.5829 0.2514 1
S1 S 0.7153 0.7153 0.8540 1
S2 S 0.2847 0.2847 0.1460 1
```

Computed properties:
E_form (uncorrected): -3.12 eV per formula unit
DFT total energy: -4.951 eV/atom



no.,size of the total moment (μB/f.u.)
1,0.89
2,0.00
3,0.00
4,0.00
5,0.00
6,0.00
7,0.41
8,0.00